# 1
{
  "formula": "BPH2",
  "functional": "PBE",
  "state": "optimized geometry",
  "lattice": [[2.326, 0.000, 0.000], [0.000, 6.742, 0.000], [-0.046, 0.000, 5.618]],
  "species": ["B", "B", "P", "P", "H", "H", "H", "H"],
  "fractional_positions": [[0.248, 0.250, 0.419], [0.752, 0.750, 0.581], [0.246, 0.750, 0.282], [0.754, 0.250, 0.718], [0.246, 0.095, 0.305], [0.246, 0.405, 0.305], [0.754, 0.595, 0.695], [0.754, 0.905, 0.695]],
  "magnetic_moment_mub_per_fu": 0.00,
  "final_energy_ev_per_cell": -35.2
}

# 2
{
  "formula": "Li2Zn2Ag3",
  "functional": "PBE",
  "state": "optimized geometry",
  "lattice": [[2.883, 0.000, 0.000], [1.389, 6.150, 0.000], [0.206, 2.680, 6.463]],
  "species": ["Li", "Li", "Zn", "Zn", "Ag", "Ag", "Ag"],
  "fractional_positions": [[0.136, 0.235, 0.418], [0.864, 0.765, 0.582], [0.291, 0.920, 0.861], [0.709, 0.080, 0.139], [0.000, 0.500, 0.000], [0.410, 0.668, 0.290], [0.590, 0.332, 0.710]],
  "magnetic_moment_mub_per_fu": 0.00,
  "final_energy_ev_per_cell": -15.9,
  "e_form_ev_per_atom": -0.13
}

# 3
{
  "formula": "ZrTaNbMo",
  "functional": "PBE",
  "state": "optimized geometry",
  "lattice": [[0.000, 3.325, 3.325], [3.325, 0.000, 3.325], [3.325, 3.325, 0.000]],
  "species": ["Zr", "Ta", "Nb", "Mo"],
  "fractional_positions": [[0.000, 0.000, 0.000], [0.500, 0.500, 0.500], [0.250, 0.250, 0.250], [0.750, 0.750, 0.750]],
  "magnetic_moment_mub_per_fu": 0.00,
  "final_energy_ev_per_cell": -41.2,
  "e_form_ev_per_atom": 0.02
}

# 4
{
  "formula": "La3TlN",
  "functional": "PBE",
  "state": "optimized geometry",
  "lattice": [[7.452, 0.000, 0.000], [0.000, 5.089, 0.000], [0.000, 0.000, 7.163]],
  "species": ["La", "La", "La", "La", "La", "La", "Tl", "Tl", "N", "N"],
  "fractional_positions": [[0.000, 0.000, 0.247], [0.000, 0.000, 0.753], [0.250, 0.500, 0.000], [0.500, 0.000, 0.247], [0.500, 0.000, 0.753], [0.750, 0.500, 0.000], [0.250, 0.500, 0.500], [0.750, 0.500, 0.500], [0.250, 0.000, 0.000], [0.750, 0.000, 0.000]],
  "magnetic_moment_mub_per_fu": 0.00,
  "final_energy_ev_per_cell": -58.7,
  "e_form_raw_kj_per_mol_atoms": -74.6
}

# 5
{
  "formula": "SiOsF3",
  "functional": "PBE",
  "state": "optimized geometry",
  "lattice": [[4.199, 0.000, 0.000], [0.000, 4.199, 0.000], [0.000, 0.000, 4.199]],
  "species": ["Si", "Os", "F", "F", "F"],
  "fractional_positions": [[0.000, 0.000, 0.000], [0.500, 0.500, 0.500], [0.000, 0.500, 0.500], [0.500, 0.000, 0.500], [0.500, 0.500, 0.000]],
  "magnetic_moment_mub_per_fu": 0.00,
  "final_energy_ev_per_cell": -22.7,
  "e_form_raw_kj_per_mol_atoms": -8.5
}

# 6
{
  "formula": "TaAl2Pt",
  "functional": "PBE",
  "state": "optimized geometry",
  "lattice": [[4.757, -1.498, 0.000], [4.757, 1.498, 0.000], [-1.335, 0.000, 4.470]],
  "species": ["Ta", "Al", "Al", "Pt"],
  "fractional_positions": [[0.000, 0.000, 0.000], [0.509, 0.509, 0.497], [0.755, 0.755, 0.213], [0.249, 0.249, 0.686]],
  "magnetic_moment_mub_per_fu": 0.00,
  "final_energy_ev_per_cell": -27.2,
  "e_form_ev_per_atom": -0.46
}